The following is a DFT calculation (PBE) of a relaxed structure of BaAs2N.

Unit cell a=7.0310 b=7.0310 c=7.6031 alpha=90.00 beta=90.00 gamma=90.00
Last column: nearest neighbours and their distance in Å.
Sites, in units of the cell vectors:
1 Ba 0.0000 0.0000 0.0000  8 As 3.42-3.45, 2 N 3.80
2 Ba 0.0000 0.5000 0.2500  8 As 3.42-3.45, 2 N 3.80
3 Ba 0.5000 0.0000 0.7500  8 As 3.42-3.45, 2 N 3.80
4 Ba 0.5000 0.5000 0.5000  8 As 3.42-3.45, 2 N 3.80
5 As 0.1008 0.7500 0.6250  2 N 2.12
6 As 0.2500 0.1008 0.3750  2 N 2.12
7 As 0.2500 0.3992 0.8750  2 N 2.12
8 As 0.3992 0.7500 0.1250  2 N 2.12
9 As 0.6008 0.2500 0.1250  2 N 2.12
10 As 0.7500 0.6008 0.8750  2 N 2.12
11 As 0.7500 0.8992 0.3750  2 N 2.12
12 As 0.8992 0.2500 0.6250  2 N 2.12
13 N 0.0000 0.0000 0.5000  4 As 2.12
14 N 0.0000 0.5000 0.7500  4 As 2.12
15 N 0.5000 0.0000 0.2500  4 As 2.12
16 N 0.5000 0.5000 0.0000  4 As 2.12

Computed properties:
The calculation puts the uncorrected energy at -76.4 eV per cell. As for the space group: I-42d, No. 122. The value obtained for the uncorrected formation energy is 44.1 kJ/mol of formula units.